1.
5
Lattice="5.277 0.000 0.000 0.000 5.277 0.000 0.000 0.000 6.290" Properties=species:S:1:pos:R:3 comment="SrGaSb2I, optimized geometry, DFT PBE" m_tot_mub_per_cell=0.00 n_ef_per_ev_fu=3.4 raw_formation_energy_mev_per_atom=-234.3 de_polymorph_mev_per_atom=0 e_tot_ev_per_fu=-15.68 pbc="T T T"
Sr 0.000 0.000 0.000
Ga 2.638 2.638 3.145
Sb 0.000 2.638 3.145
Sb 2.638 0.000 3.145
I 2.638 2.638 0.000

2.
4
Lattice="-1.594 2.386 5.466 1.594 -2.386 5.466 1.594 2.386 -5.466" Properties=species:S:1:pos:R:3 comment="Al2AuBr, optimized geometry, DFT PBE" m_tot_mub_per_cell=0.00 n_ef_per_ev_fu=1.5 raw_formation_energy_mev_per_atom=11.8 de_polymorph_mev_per_atom=367 e_tot_ev_per_fu=-12.39 pbc="T T T"
Al 0.000 0.000 0.000
Al 0.000 2.386 2.990
Au 0.000 0.000 6.312
Br 1.594 0.000 3.288

3.
3
Lattice="4.308 0.000 0.000 -2.154 3.731 0.000 0.000 0.000 4.115" Properties=species:S:1:pos:R:3 comment="CaMoSe, optimized geometry, DFT PBE" m_tot_mub_per_cell=0.15 n_ef_per_ev_fu=3.2 raw_formation_energy_mev_per_atom=-66.7 de_polymorph_mev_per_atom=172 e_tot_ev_per_fu=-16.52 pbc="T T T"
Ca 0.000 0.000 0.000
Mo 0.000 2.487 2.057
Se 2.154 1.244 2.057

4.
3
Lattice="4.291 0.000 0.000 -2.145 3.716 0.000 0.000 0.000 3.841" Properties=species:S:1:pos:R:3 comment="LaFeBr, optimized geometry, DFT PBE" m_tot_mub_per_cell=0.22 n_ef_per_ev_fu=3.6 raw_formation_energy_mev_per_atom=-139.2 e_tot_ev_per_fu=-15.48 pbc="T T T"
La 0.000 0.000 0.000
Fe 0.000 2.477 1.755
Br 2.145 1.239 1.923

- Number 2 is which compound?
  Al2AuBr

What did the first record say?
5
Lattice="5.277 0.000 0.000 0.000 5.277 0.000 0.000 0.000 6.290" Properties=species:S:1:pos:R:3 comment="SrGaSb2I, optimized geometry, DFT PBE" m_tot_mub_per_cell=0.00 n_ef_per_ev_fu=3.4 raw_formation_energy_mev_per_atom=-234.3 de_polymorph_mev_per_atom=0 e_tot_ev_per_fu=-15.68 pbc="T T T"
Sr 0.000 0.000 0.000
Ga 2.638 2.638 3.145
Sb 0.000 2.638 3.145
Sb 2.638 0.000 3.145
I 2.638 2.638 0.000